# NaWSeBr2 PBE-GGA relaxed
data_NaWSeBr2
_chemical_formula_sum 'Na1 W1 Se1 Br2'
_cell_length_a 5.066
_cell_length_b 5.066
_cell_length_c 5.397
_cell_angle_alpha 90.00
_cell_angle_beta 90.00
_cell_angle_gamma 90.00
_symmetry_space_group_name_H-M 'P 4/m m m'
_symmetry_Int_Tables_number 123
_symmetry_space_group_name_Hall '-P 4 2'
loop_
_atom_site_label
_atom_site_fract_x
_atom_site_fract_y
_atom_site_fract_z
Na1 0.000 0.000 0.000
W1 0.500 0.500 0.500
Se1 0.000 0.000 0.500
Br1 0.000 0.500 0.000
# energy: -3.174 eV per atom
# ΔE to the lowest computed polymorph: 1.244 eV/atom


# PrCd12Hg6 PBE-GGA relaxed
data_PrCd12Hg6
_chemical_formula_sum 'Pr3 Cd36 Hg18'
_cell_length_a 12.5900
_cell_length_b 12.5900
_cell_length_c 10.2733
_cell_angle_alpha 90.00
_cell_angle_beta 90.00
_cell_angle_gamma 120.00
_symmetry_space_group_name_H-M 'R -3'
_symmetry_Int_Tables_number 148
_symmetry_space_group_name_Hall '-R 3'
loop_
_atom_site_label
_atom_site_fract_x
_atom_site_fract_y
_atom_site_fract_z
Pr1 0.0000 0.0000 0.0000
Cd1 0.9996 0.2669 0.9998
Cd2 0.0677 0.5343 0.1218
Hg1 0.0854 0.9133 0.7464
# energy: -0.978 eV per atom
# ΔE to the lowest computed polymorph: 0.000 eV/atom


# ZrGa2Fe2 PBE-GGA relaxed
data_ZrGa2Fe2
_chemical_formula_sum 'Zr2 Ga4 Fe4'
_cell_length_a 7.303
_cell_length_b 7.303
_cell_length_c 2.728
_cell_angle_alpha 90.00
_cell_angle_beta 90.00
_cell_angle_gamma 90.00
_symmetry_space_group_name_H-M 'P 4/m b m'
_symmetry_Int_Tables_number 127
_symmetry_space_group_name_Hall '-P 4 2ab'
loop_
_atom_site_label
_atom_site_fract_x
_atom_site_fract_y
_atom_site_fract_z
Zr1 0.000 0.000 0.000
Ga1 0.131 0.369 0.000
Fe1 0.165 0.665 0.500
# energy: -6.452 eV per atom
# ΔE to the lowest computed polymorph: 0.108 eV/atom


# AcAlNiPt2 PBE-GGA relaxed
data_AcAlNiPt2
_chemical_formula_sum 'Ac2 Al2 Ni2 Pt4'
_cell_length_a 4.097
_cell_length_b 4.097
_cell_length_c 11.817
_cell_angle_alpha 90.00
_cell_angle_beta 90.00
_cell_angle_gamma 90.00
_symmetry_space_group_name_H-M 'I -4 m 2'
_symmetry_Int_Tables_number 119
_symmetry_space_group_name_Hall 'I -4 -2'
loop_
_atom_site_label
_atom_site_fract_x
_atom_site_fract_y
_atom_site_fract_z
Ac1 0.000 0.000 0.000
Al1 0.000 0.500 0.250
Ni1 0.000 0.500 0.750
Pt1 0.000 0.000 0.381
# energy: -5.960 eV per atom


# BiPd2O4 PBE-GGA relaxed
data_BiPd2O4
_chemical_formula_sum 'Bi2 Pd4 O8'
_cell_length_a 5.801
_cell_length_b 6.252
_cell_length_c 6.468
_cell_angle_alpha 73.11
_cell_angle_beta 65.10
_cell_angle_gamma 78.99
_symmetry_space_group_name_H-M 'P -1'
_symmetry_Int_Tables_number 2
_symmetry_space_group_name_Hall '-P 1'
loop_
_atom_site_label
_atom_site_fract_x
_atom_site_fract_y
_atom_site_fract_z
Bi1 0.225 0.217 0.400
Pd1 0.000 0.000 0.000
Pd2 0.000 0.500 0.000
Pd3 0.500 0.000 0.000
Pd4 0.500 0.500 0.500
O1 0.156 0.912 0.252
O2 0.200 0.687 0.685
O3 0.300 0.886 0.719
O4 0.339 0.328 0.018
# energy: -5.150 eV per atom
# ΔE to the lowest computed polymorph: 0.464 eV/atom


# Ti3CdIr PBE-GGA relaxed
data_Ti3CdIr
_chemical_formula_sum 'Ti3 Cd1 Ir1'
_cell_length_a 4.784
_cell_length_b 4.784
_cell_length_c 4.784
_cell_angle_alpha 90.00
_cell_angle_beta 90.00
_cell_angle_gamma 90.00
_symmetry_space_group_name_H-M 'P m -3 m'
_symmetry_Int_Tables_number 221
_symmetry_space_group_name_Hall '-P 4 2 3'
loop_
_atom_site_label
_atom_site_fract_x
_atom_site_fract_y
_atom_site_fract_z
Ti1 0.000 0.000 0.500
Cd1 0.500 0.500 0.500
Ir1 0.000 0.000 0.000
# energy: -6.455 eV per atom
# ΔE to the lowest computed polymorph: 0.000 eV/atom


# CoAs2Os PBE-GGA relaxed
data_CoAs2Os
_chemical_formula_sum 'Co4 As8 Os4'
_cell_length_a 6.111
_cell_length_b 6.111
_cell_length_c 6.111
_cell_angle_alpha 90.00
_cell_angle_beta 90.00
_cell_angle_gamma 90.00
_symmetry_space_group_name_H-M 'F m -3 m'
_symmetry_Int_Tables_number 225
_symmetry_space_group_name_Hall '-F 4 2 3'
loop_
_atom_site_label
_atom_site_fract_x
_atom_site_fract_y
_atom_site_fract_z
Co1 0.000 0.000 0.000
As1 0.250 0.250 0.250
Os1 0.000 0.000 0.500
# energy: -6.637 eV per atom
# ΔE to the lowest computed polymorph: 0.183 eV/atom


# Pu2PH4 PBE-GGA relaxed
data_Pu2PH4
_chemical_formula_sum 'Pu6 P3 H12'
_cell_length_a 3.7422
_cell_length_b 3.7422
_cell_length_c 20.4967
_cell_angle_alpha 90.00
_cell_angle_beta 90.00
_cell_angle_gamma 120.00
_symmetry_space_group_name_H-M 'R -3 m'
_symmetry_Int_Tables_number 166
_symmetry_space_group_name_Hall '-R 3 2"'
loop_
_atom_site_label
_atom_site_fract_x
_atom_site_fract_y
_atom_site_fract_z
Pu1 0.0000 0.0000 0.2464
P1 0.0000 0.0000 0.0000
H1 0.0000 0.0000 0.1344
H2 0.0000 0.0000 0.4349
# energy: -7.316 eV per atom
# ΔE to the lowest computed polymorph: 0.000 eV/atom


# AgHg4Au PBE-GGA relaxed
data_AgHg4Au
_chemical_formula_sum 'Ag4 Hg16 Au4'
_cell_length_a 6.939
_cell_length_b 6.939
_cell_length_c 11.686
_cell_angle_alpha 90.00
_cell_angle_beta 90.00
_cell_angle_gamma 90.00
_symmetry_space_group_name_H-M 'I 4/m c m'
_symmetry_Int_Tables_number 140
_symmetry_space_group_name_Hall '-I 4 2c'
loop_
_atom_site_label
_atom_site_fract_x
_atom_site_fract_y
_atom_site_fract_z
Ag1 0.000 0.000 0.250
Hg1 0.158 0.342 0.130
Au1 0.000 0.000 0.000
# energy: -1.180 eV per atom
# ΔE to the lowest computed polymorph: 0.000 eV/atom


# K2ScW PBE-GGA relaxed
data_K2ScW
_chemical_formula_sum 'K2 Sc1 W1'
_cell_length_a 2.912
_cell_length_b 2.912
_cell_length_c 12.954
_cell_angle_alpha 90.00
_cell_angle_beta 90.00
_cell_angle_gamma 90.00
_symmetry_space_group_name_H-M 'P 4/m m m'
_symmetry_Int_Tables_number 123
_symmetry_space_group_name_Hall '-P 4 2'
loop_
_atom_site_label
_atom_site_fract_x
_atom_site_fract_y
_atom_site_fract_z
K1 0.000 0.000 0.224
Sc1 0.500 0.500 0.500
W1 0.500 0.500 0.000
# energy: -4.000 eV per atom
# ΔE to the lowest computed polymorph: 0.479 eV/atom


# PmNdErRu PBE-GGA relaxed
data_PmNdErRu
_chemical_formula_sum 'Pm4 Nd4 Er4 Ru4'
_cell_length_a 7.428
_cell_length_b 7.428
_cell_length_c 7.428
_cell_angle_alpha 90.00
_cell_angle_beta 90.00
_cell_angle_gamma 90.00
_symmetry_space_group_name_H-M 'F -4 3 m'
_symmetry_Int_Tables_number 216
_symmetry_space_group_name_Hall 'F -4 2 3'
loop_
_atom_site_label
_atom_site_fract_x
_atom_site_fract_y
_atom_site_fract_z
Pm1 0.000 0.000 0.000
Nd1 0.000 0.000 0.500
Er1 0.250 0.250 0.750
Ru1 0.250 0.250 0.250
# energy: -5.662 eV per atom


# Sc3AlZn2 PBE-GGA relaxed
data_Sc3AlZn2
_chemical_formula_sum 'Sc6 Al2 Zn4'
_cell_length_a 4.746
_cell_length_b 14.248
_cell_length_c 3.371
_cell_angle_alpha 90.00
_cell_angle_beta 90.00
_cell_angle_gamma 90.00
_symmetry_space_group_name_H-M 'C m m m'
_symmetry_Int_Tables_number 65
_symmetry_space_group_name_Hall '-C 2 2'
loop_
_atom_site_label
_atom_site_fract_x
_atom_site_fract_y
_atom_site_fract_z
Sc1 0.000 0.000 0.000
Sc2 0.000 0.330 0.000
Al1 0.000 0.500 0.500
Zn1 0.000 0.164 0.500
# energy: -4.619 eV per atom


# KNiW2 PBE-GGA relaxed
data_KNiW2
_chemical_formula_sum 'K4 Ni4 W8'
_cell_length_a 6.498
_cell_length_b 6.498
_cell_length_c 6.498
_cell_angle_alpha 90.00
_cell_angle_beta 90.00
_cell_angle_gamma 90.00
_symmetry_space_group_name_H-M 'F -4 3 m'
_symmetry_Int_Tables_number 216
_symmetry_space_group_name_Hall 'F -4 2 3'
loop_
_atom_site_label
_atom_site_fract_x
_atom_site_fract_y
_atom_site_fract_z
K1 0.000 0.000 0.000
Ni1 0.250 0.250 0.750
W1 0.000 0.000 0.500
W2 0.250 0.250 0.250
# energy: -6.655 eV per atom
# ΔE to the lowest computed polymorph: 0.825 eV/atom


# Ag7S2F2 PBE-GGA relaxed
data_Ag7S2F2
_chemical_formula_sum 'Ag14 S4 F4'
_cell_length_a 8.863
_cell_length_b 8.242
_cell_length_c 5.899
_cell_angle_alpha 90.00
_cell_angle_beta 90.15
_cell_angle_gamma 90.00
_symmetry_space_group_name_H-M 'C 1 2/m 1'
_symmetry_Int_Tables_number 12
_symmetry_space_group_name_Hall '-C 2y'
loop_
_atom_site_label
_atom_site_fract_x
_atom_site_fract_y
_atom_site_fract_z
Ag1 0.000 0.000 0.000
Ag2 0.000 0.500 0.264
Ag3 0.250 0.250 0.260
S1 0.000 0.224 0.500
F1 0.236 0.500 0.001
# energy: -3.118 eV per atom
# ΔE to the lowest computed polymorph: 0.115 eV/atom


# Ga2Cu2As PBE-GGA relaxed
data_Ga2Cu2As
_chemical_formula_sum 'Ga4 Cu4 As2'
_cell_length_a 3.455
_cell_length_b 3.455
_cell_length_c 13.687
_cell_angle_alpha 90.00
_cell_angle_beta 90.00
_cell_angle_gamma 90.00
_symmetry_space_group_name_H-M 'I 4/m m m'
_symmetry_Int_Tables_number 139
_symmetry_space_group_name_Hall '-I 4 2'
loop_
_atom_site_label
_atom_site_fract_x
_atom_site_fract_y
_atom_site_fract_z
Ga1 0.000 0.000 0.105
Cu1 0.000 0.500 0.250
As1 0.000 0.000 0.500
# energy: -3.655 eV per atom
# ΔE to the lowest computed polymorph: 0.046 eV/atom


# Y4Sb3As PBE-GGA relaxed
data_Y4Sb3As
_chemical_formula_sum 'Y8 Sb6 As2'
_cell_length_a 8.673
_cell_length_b 12.234
_cell_length_c 4.315
_cell_angle_alpha 90.00
_cell_angle_beta 90.00
_cell_angle_gamma 90.00
_symmetry_space_group_name_H-M 'C m m m'
_symmetry_Int_Tables_number 65
_symmetry_space_group_name_Hall '-C 2 2'
loop_
_atom_site_label
_atom_site_fract_x
_atom_site_fract_y
_atom_site_fract_z
Y1 0.000 0.244 0.000
Y2 0.238 0.000 0.500
Sb1 0.000 0.500 0.000
Sb2 0.250 0.250 0.500
As1 0.000 0.000 0.000
# energy: -6.602 eV per atom


# Ac2ScP3Pt12 PBE-GGA relaxed
data_Ac2ScP3Pt12
_chemical_formula_sum 'Ac6 Sc3 P9 Pt36'
_cell_length_a 8.3122
_cell_length_b 8.3122
_cell_length_c 18.6710
_cell_angle_alpha 90.00
_cell_angle_beta 90.00
_cell_angle_gamma 120.00
_symmetry_space_group_name_H-M 'R -3 m'
_symmetry_Int_Tables_number 166
_symmetry_space_group_name_Hall '-R 3 2"'
loop_
_atom_site_label
_atom_site_fract_x
_atom_site_fract_y
_atom_site_fract_z
Ac1 0.0000 0.0000 0.1085
Sc1 0.0000 0.0000 0.5000
P1 0.0000 0.5000 0.0000
Pt1 0.0053 0.5026 0.8762
Pt2 0.0432 0.5216 0.3587
# energy: -6.286 eV per atom


# AgHg2I2 PBE-GGA relaxed
data_AgHg2I2
_chemical_formula_sum 'Ag2 Hg4 I4'
_cell_length_a 8.224
_cell_length_b 8.224
_cell_length_c 6.006
_cell_angle_alpha 90.00
_cell_angle_beta 90.00
_cell_angle_gamma 90.00
_symmetry_space_group_name_H-M 'P 4/m b m'
_symmetry_Int_Tables_number 127
_symmetry_space_group_name_Hall '-P 4 2ab'
loop_
_atom_site_label
_atom_site_fract_x
_atom_site_fract_y
_atom_site_fract_z
Ag1 0.000 0.000 0.000
Hg1 0.123 0.377 0.500
I1 0.207 0.293 0.000
# energy: -1.323 eV per atom
# ΔE to the lowest computed polymorph: 0.092 eV/atom


# Ni2SbOsC PBE-GGA relaxed
data_Ni2SbOsC
_chemical_formula_sum 'Ni2 Sb1 Os1 C1'
_cell_length_a 4.515
_cell_length_b 4.515
_cell_length_c 4.981
_cell_angle_alpha 90.00
_cell_angle_beta 90.00
_cell_angle_gamma 90.00
_symmetry_space_group_name_H-M 'P 4/m m m'
_symmetry_Int_Tables_number 123
_symmetry_space_group_name_Hall '-P 4 2'
loop_
_atom_site_label
_atom_site_fract_x
_atom_site_fract_y
_atom_site_fract_z
Ni1 0.000 0.500 0.000
Sb1 0.000 0.000 0.500
Os1 0.000 0.000 0.000
C1 0.500 0.500 0.500
# energy: -4.957 eV per atom


# Hg2AsIrW PBE-GGA relaxed
data_Hg2AsIrW
_chemical_formula_sum 'Hg2 As1 Ir1 W1'
_cell_length_a 5.267
_cell_length_b 5.267
_cell_length_c 4.576
_cell_angle_alpha 90.00
_cell_angle_beta 90.00
_cell_angle_gamma 90.00
_symmetry_space_group_name_H-M 'P 4/m m m'
_symmetry_Int_Tables_number 123
_symmetry_space_group_name_Hall '-P 4 2'
loop_
_atom_site_label
_atom_site_fract_x
_atom_site_fract_y
_atom_site_fract_z
Hg1 0.000 0.500 0.000
As1 0.000 0.000 0.500
Ir1 0.000 0.000 0.000
W1 0.500 0.500 0.500
# energy: -4.026 eV per atom


# SmDyHoSc PBE-GGA relaxed
data_SmDyHoSc
_chemical_formula_sum 'Sm2 Dy2 Ho2 Sc2'
_cell_length_a 12.102
_cell_length_b 5.616
_cell_length_c 3.760
_cell_angle_alpha 90.00
_cell_angle_beta 108.07
_cell_angle_gamma 90.00
_symmetry_space_group_name_H-M 'C 1 m 1'
_symmetry_Int_Tables_number 8
_symmetry_space_group_name_Hall 'C -2y'
loop_
_atom_site_label
_atom_site_fract_x
_atom_site_fract_y
_atom_site_fract_z
Sm1 0.000 0.000 0.000
Dy1 0.230 0.500 0.223
Ho1 0.269 0.000 0.762
Sc1 0.499 0.000 0.494
# energy: -4.959 eV per atom
# ΔE to the lowest computed polymorph: 0.000 eV/atom


# Ca2ScP2 PBE-GGA relaxed
data_Ca2ScP2
_chemical_formula_sum 'Ca4 Sc2 P4'
_cell_length_a 7.431
_cell_length_b 7.431
_cell_length_c 4.045
_cell_angle_alpha 90.00
_cell_angle_beta 90.00
_cell_angle_gamma 90.00
_symmetry_space_group_name_H-M 'P 4/m b m'
_symmetry_Int_Tables_number 127
_symmetry_space_group_name_Hall '-P 4 2ab'
loop_
_atom_site_label
_atom_site_fract_x
_atom_site_fract_y
_atom_site_fract_z
Ca1 0.144 0.356 0.000
Sc1 0.000 0.000 0.500
P1 0.169 0.669 0.500
# energy: -5.250 eV per atom